Density functional theory data (PBE-GGA) for Tb2PrNd8 after structural relaxation.

Results
DOS(E_F): 18.41 states/eV/f.u.
space group: C2/m, No. 12
crystal system: monoclinic
formation enthalpy at 0 K: 0.16 eV per atom

Geometry as POSCAR:
```
Tb2PrNd8
1.0
-4.689 4.542 1.814
-9.339 -3.147 3.659
-5.431 -1.213 8.919
Nd Tb Pr
8 2 1
Cartesian
-10.717 -1.966 6.580 Nd
-12.168 0.721 8.777 Nd
-7.485 2.691 4.572 Nd
-11.974 -2.510 9.820 Nd
-7.291 -0.540 5.616 Nd
-8.862 -1.048 9.077 Nd
-10.597 1.229 5.316 Nd
-8.742 2.146 7.813 Nd
-14.593 -0.768 11.125 Tb
-4.866 0.949 3.267 Tb
0.000 0.000 0.000 Pr
```

***

Density functional theory data (PBE-GGA) for MnP2Se after structural relaxation.

Results
DOS(E_F): 1.47 states/eV/f.u.
space group: R3m, No. 160
crystal system: trigonal
energy relative to the elements, uncorrected: 24 meV per atom

Geometry as POSCAR:
```
MnP2Se
1.0
8.676 0.035 0.020
8.094 3.123 0.020
8.094 1.524 2.726
Se P Mn
1 2 1
Cartesian
11.667 2.197 1.298 Se
7.055 1.328 0.785 P
0.073 0.014 0.008 P
18.502 3.484 2.059 Mn
```

***

Density functional theory data (PBE-GGA) for K2TcBr after structural relaxation.

Results
DOS(E_F): 3.35 states/eV/f.u.
space group: P4mm, No. 99
crystal system: tetragonal
offset from the most stable computed form: 134 meV/atom
energy relative to the elements, uncorrected: 459 meV per atom

Geometry as POSCAR:
```
K2TcBr
1.0
-0.242 -4.038 0.681
4.092 -0.253 -0.048
0.221 1.680 10.040
K Br Tc
2 1 1
Cartesian
0.181 1.377 8.228 K
1.983 -1.706 2.944 K
2.135 -0.552 9.839 Br
0.104 0.790 4.723 Tc
```

***

Density functional theory data (PBE-GGA) for MgZr3V after structural relaxation.

Results
DOS(E_F): 6.65 states/eV/f.u.
space group: Pm-3m, No. 221
crystal system: cubic
formation enthalpy at 0 K: 0.55 eV per atom
offset from the most stable computed form: 0 meV/atom

Geometry as POSCAR:
```
MgZr3V
1.0
4.937 0.000 0.000
0.000 4.937 0.000
0.000 0.000 4.937
Mg V Zr
1 1 3
Cartesian
2.469 2.469 2.469 Mg
0.000 0.000 0.000 V
2.469 0.000 0.000 Zr
0.000 0.000 2.469 Zr
0.000 2.469 0.000 Zr
```

***

Please write out number 1 again, unchanged.
Density functional theory data (PBE-GGA) for Tb2PrNd8 after structural relaxation.

Results
DOS(E_F): 18.41 states/eV/f.u.
space group: C2/m, No. 12
crystal system: monoclinic
formation enthalpy at 0 K: 0.16 eV per atom

Geometry as POSCAR:
```
Tb2PrNd8
1.0
-4.689 4.542 1.814
-9.339 -3.147 3.659
-5.431 -1.213 8.919
Nd Tb Pr
8 2 1
Cartesian
-10.717 -1.966 6.580 Nd
-12.168 0.721 8.777 Nd
-7.485 2.691 4.572 Nd
-11.974 -2.510 9.820 Nd
-7.291 -0.540 5.616 Nd
-8.862 -1.048 9.077 Nd
-10.597 1.229 5.316 Nd
-8.742 2.146 7.813 Nd
-14.593 -0.768 11.125 Tb
-4.866 0.949 3.267 Tb
0.000 0.000 0.000 Pr
```

***

Among the records above, which one has the lowest DOS(E_F)?
MnP2Se